Record 1
Ni2HgF after structural relaxation. Source: Alexandria, functional PBE+U.

Unit cell a=4.666 b=4.666 c=7.292 alpha=71.34 beta=71.34 gamma=90.00
Site moments in Bohr magnetons follow the coordinates.
Element x y z (fractional)
F1 0.500 0.500 0.000  -0.01
Ni1 0.875 0.725 0.750  0.95
F2 0.250 0.750 0.500  -0.01
Ni2 0.275 0.625 0.250  0.96
Hg1 0.750 0.250 0.500  -0.02
Ni3 0.475 0.125 0.250  0.96
Hg2 0.000 0.000 0.000  -0.02
Ni4 0.375 0.525 0.750  0.96

Summary:
As for the space group: I-42d (122). The calculation puts the energy relative to the lowest polymorph listed for this composition at 0.0 meV/atom. For the total energy, the calculation gives -1.883 eV/atom. As for the crystal system: tetragonal.

Record 2
Ni3HgF after structural relaxation. Source: Alexandria, functional PBE+U.

Unit cell a=4.964 b=4.964 c=4.964 alpha=90.00 beta=90.00 gamma=90.00
Site moments in Bohr magnetons follow the coordinates.
Element x y z (fractional)
F1 0.500 0.500 0.500  0.00
Ni1 0.000 0.000 0.500  0.97
Hg1 0.000 0.000 0.000  0.01
Ni2 0.000 0.500 0.000  0.98
Ni3 0.500 0.000 0.000  1.01

Summary:
As for the space group: Pm-3m (221). The calculation puts the energy relative to the lowest polymorph listed for this composition at 1032.9 meV/atom. For the total energy, the calculation gives -0.848 eV/atom. As for the crystal system: cubic.

Record 3
Ni3HgF after structural relaxation. Source: Alexandria, functional PBE+U.

Unit cell a=4.150 b=4.150 c=4.150 alpha=90.00 beta=90.00 gamma=90.00
Site moments in Bohr magnetons follow the coordinates.
Element x y z (fractional)
Ni1 0.000 0.000 0.500  1.06
Hg1 0.500 0.500 0.500  0.00
Ni2 0.000 0.500 0.000  0.98
Ni3 0.500 0.000 0.000  0.95
F1 0.000 0.000 0.000  0.04

Summary:
As for the space group: Pm-3m (221). The calculation puts the energy relative to the lowest polymorph listed for this composition at 0.0 meV/atom. For the total energy, the calculation gives -1.881 eV/atom. As for the crystal system: cubic.

Record 4
Ni2HgF2 after structural relaxation. Source: Alexandria, functional PBE+U.

Unit cell a=3.635 b=3.635 c=5.667 alpha=71.29 beta=71.29 gamma=90.00
Site moments in Bohr magnetons follow the coordinates.
Element x y z (fractional)
Hg1 0.000 0.000 0.000  0.03
F1 0.750 0.250 0.500  0.05
Ni1 0.377 0.377 0.246  1.53
Ni2 0.623 0.623 0.754  1.53
F2 0.250 0.750 0.500  0.05

Summary:
As for the space group: I4/mmm (139). The calculation puts the energy relative to the lowest polymorph listed for this composition at 0.0 meV/atom. For the total energy, the calculation gives -2.451 eV/atom. As for the crystal system: tetragonal.

Record 5
Ni2HgF after structural relaxation. Source: Alexandria, functional PBE+U.

Unit cell a=4.296 b=4.296 c=4.296 alpha=60.00 beta=60.00 gamma=60.00
Site moments in Bohr magnetons follow the coordinates.
Element x y z (fractional)
Ni1 0.750 0.750 0.750  0.89
F1 0.000 0.000 0.000  0.03
Ni2 0.250 0.250 0.250  0.89
Hg1 0.500 0.500 0.500  -0.06

Summary:
As for the space group: Fm-3m (225). The calculation puts the energy relative to the lowest polymorph listed for this composition at 686.8 meV/atom. For the total energy, the calculation gives -1.197 eV/atom. As for the crystal system: cubic.

Record 6
NiHg3F after structural relaxation. Source: Alexandria, functional PBE+U.

Unit cell a=4.978 b=4.978 c=4.978 alpha=90.00 beta=90.00 gamma=90.00
Site moments in Bohr magnetons follow the coordinates.
Element x y z (fractional)
Hg1 0.000 0.000 0.500  -0.03
Hg2 0.500 0.000 0.000  -0.01
Ni1 0.000 0.000 0.000  0.45
F1 0.500 0.500 0.500  0.02
Hg3 0.000 0.500 0.000  0.00

Summary:
As for the space group: Pm-3m (221). The calculation puts the energy relative to the lowest polymorph listed for this composition at 0.0 meV/atom. For the total energy, the calculation gives -1.007 eV/atom. As for the crystal system: cubic.